The following is a DFT calculation (GGA+U) of KMoPClO5 after structural relaxation.

The calculation puts the volume at 17.71 Å³ per atom. The calculation puts the density of states at the Fermi level at 0.000 states/eV/atom. The calculation puts the calculated total energy at -115.756 eV for the cell shown.

The structure belongs to space group P4/nmm (No. 129, origin choice 2); the cell edges are 6.5528, 6.5528 and 7.4255 Å and the angles 90.00°, 90.00° and 90.00°. The asymmetric unit holds K at (0.2500, 0.7500, 0.0000), Mo at (0.2500, 0.2500, 0.4052), P at (0.2500, 0.7500, 0.5000), Cl at (0.2500, 0.2500, 0.0555), O at (0.0637, 0.7500, 0.6285) and O at (0.2500, 0.2500, 0.6344).